No. 1
Computed, not measured: an optimized crystal structure of Ac8Pr4Tm at the PBE level of DFT.

ρ = 7.19 g/cm³
Fermi-level density of states = 21.2 states/eV/f.u.
calculated total energy = -3.94 eV per atom
total magnetization = 0.0 μB/cell
energy of formation = 0.402 eV per atom

Unit cell a=8.381 b=8.381 c=8.381 alpha=90.00 beta=90.00 gamma=90.00
Atoms (fractional coordinates):
Ac  0.241  0.241  0.241
Ac  0.241  0.241  0.759
Ac  0.241  0.759  0.241
Ac  0.241  0.759  0.759
Ac  0.759  0.241  0.241
Ac  0.759  0.241  0.759
Ac  0.759  0.759  0.241
Ac  0.759  0.759  0.759
Pr  0.000  0.000  0.000
Pr  0.000  0.500  0.500
Pr  0.500  0.000  0.500
Pr  0.500  0.500  0.000
Tm  0.500  0.500  0.500

***

No. 2
Computed, not measured: an optimized crystal structure of Ac6Pr8Tm at the PBE level of DFT.

ρ = 7.46 g/cm³
Fermi-level density of states = 23.6 states/eV/f.u.
calculated total energy = -4.39 eV per atom
total magnetization = 0.0 μB/cell
energy of formation = 0.104 eV per atom

Unit cell a=9.238 b=9.238 c=9.238 alpha=62.78 beta=62.78 gamma=62.78
Atoms (fractional coordinates):
Ac  0.044  0.740  0.590
Ac  0.260  0.410  0.956
Ac  0.410  0.956  0.260
Ac  0.590  0.044  0.740
Ac  0.740  0.590  0.044
Ac  0.956  0.260  0.410
Pr  0.075  0.075  0.075
Pr  0.207  0.263  0.611
Pr  0.263  0.611  0.207
Pr  0.389  0.793  0.737
Pr  0.611  0.207  0.263
Pr  0.737  0.389  0.793
Pr  0.793  0.737  0.389
Pr  0.925  0.925  0.925
Tm  0.500  0.500  0.500

***

No. 3
Computed, not measured: an optimized crystal structure of Ac2Pr9Tm at the PBE level of DFT.

ρ = 7.08 g/cm³
Fermi-level density of states = 25.7 states/eV/f.u.
calculated total energy = -4.53 eV per atom
total magnetization = 0.0 μB/cell
energy of formation = 0.111 eV per atom

Unit cell a=6.204 b=6.204 c=11.533 alpha=90.00 beta=90.00 gamma=90.00
Atoms (fractional coordinates):
Ac  0.000  0.000  0.170
Ac  0.000  0.000  0.830
Pr  0.000  0.500  0.000
Pr  0.000  0.500  0.343
Pr  0.000  0.500  0.657
Pr  0.500  0.000  0.000
Pr  0.500  0.000  0.343
Pr  0.500  0.000  0.657
Pr  0.500  0.500  0.162
Pr  0.500  0.500  0.500
Pr  0.500  0.500  0.838
Tm  0.000  0.000  0.500

***

No. 4
Computed, not measured: an optimized crystal structure of AcPr6Tm2 at the PBE level of DFT.

E above lowest polymorph = 0.000 eV per atom
ρ = 7.33 g/cm³
Fermi-level density of states = 12.3 states/eV/f.u.
calculated total energy = -4.58 eV per atom
total magnetization = 0.0 μB/cell
energy of formation = 0.054 eV per atom

Unit cell a=12.311 b=12.311 c=12.311 alpha=152.56 beta=131.64 gamma=56.50
Atoms (fractional coordinates):
Ac  0.250  0.250  0.000
Ac  0.750  0.750  0.000
Pr  0.006  0.338  0.667
Pr  0.079  0.079  0.000
Pr  0.171  0.838  0.332
Pr  0.329  0.661  0.667
Pr  0.421  0.421  0.000
Pr  0.494  0.161  0.332
Pr  0.506  0.839  0.668
Pr  0.579  0.579  0.000
Pr  0.671  0.339  0.333
Pr  0.829  0.162  0.668
Pr  0.921  0.921  0.000
Pr  0.994  0.662  0.333
Tm  0.167  0.501  0.668
Tm  0.333  0.001  0.334
Tm  0.667  0.999  0.666
Tm  0.833  0.499  0.332

***

No. 5
Computed, not measured: an optimized crystal structure of Ac5Pr4Tm2 at the PBE level of DFT.

ρ = 7.73 g/cm³
Fermi-level density of states = 19.7 states/eV/f.u.
calculated total energy = -4.26 eV per atom
total magnetization = 0.0 μB/cell
energy of formation = 0.163 eV per atom

Unit cell a=9.473 b=3.693 c=12.512 alpha=90.00 beta=91.92 gamma=90.00
Atoms (fractional coordinates):
Ac  0.000  0.000  0.000
Ac  0.197  0.000  0.529
Ac  0.294  0.000  0.825
Ac  0.706  0.000  0.175
Ac  0.803  0.000  0.471
Pr  0.075  0.500  0.268
Pr  0.460  0.500  0.354
Pr  0.540  0.500  0.646
Pr  0.925  0.500  0.732
Tm  0.341  0.000  0.123
Tm  0.659  0.000  0.877

***

No. 6
Computed, not measured: an optimized crystal structure of AcPrTm at the PBE level of DFT.

E above lowest polymorph = 0.087 eV per atom
ρ = 7.96 g/cm³
Fermi-level density of states = 5.2 states/eV/f.u.
calculated total energy = -4.32 eV per atom
total magnetization = 0.0 μB/cell
energy of formation = 0.137 eV per atom

Unit cell a=5.944 b=5.944 c=7.321 alpha=90.00 beta=90.00 gamma=120.00
Atoms (fractional coordinates):
Ac  0.333  0.667  0.250
Ac  0.667  0.333  0.750
Pr  0.000  0.000  0.000
Pr  0.000  0.000  0.500
Tm  0.333  0.667  0.750
Tm  0.667  0.333  0.250